Record 1
The following is a PBE calculation of an optimized crystal structure of SiTeI3, from Alexandria.

Geometry as POSCAR:
```
SiTeI3
1.0
5.676 0.000 0.000
0.000 5.676 0.000
0.000 0.000 5.676
Si Te I
1 1 3
direct
0.000 0.000 0.000
0.500 0.500 0.500
0.000 0.000 0.500
0.000 0.500 0.000
0.500 0.000 0.000
```

Results
Spin magnetization = 2.723 μB/cell
DFT total energy = -2.287 eV per atom
Formation energy from raw total energies = 0.356 eV/atom
Volume = 183 Å³/cell

---

Record 2
The following is a PBE calculation of an optimized crystal structure of AsP3I, from Alexandria.

Geometry as POSCAR:
```
AsP3I
1.0
4.827 0.000 0.000
0.000 4.827 0.000
0.000 0.000 4.827
As P I
1 3 1
direct
0.000 0.000 0.000
0.000 0.000 0.500
0.000 0.500 0.000
0.500 0.000 0.000
0.500 0.500 0.500
```

Results
Spin magnetization = 0.000 μB/cell
DFT total energy = -3.400 eV per atom
Formation energy from raw total energies = 1.085 eV/atom
Volume = 112 Å³/cell

---

Record 3
The following is a PBE calculation of an optimized crystal structure of Tb2Co3NiGe4, from Alexandria.

Geometry as POSCAR:
```
Tb2Co3NiGe4
1.0
4.075 0.000 0.000
0.000 4.075 0.000
0.000 0.000 9.656
Tb Co Ni Ge
2 3 1 4
direct
0.000 0.500 0.247
0.500 0.000 0.753
0.000 0.500 0.873
0.500 0.000 0.127
0.500 0.500 0.500
0.000 0.000 0.500
0.000 0.000 0.000
0.000 0.500 0.632
0.500 0.000 0.368
0.500 0.500 0.000
```

Results
Spin magnetization = 1.009 μB/cell
ΔE_f = -5.94 eV/f.u.
DFT total energy = -6.077 eV per atom
Volume = 160 Å³/cell

---

Record 4
The following is a PBE calculation of an optimized crystal structure of AsPW2, from Alexandria.

Geometry as POSCAR:
```
AsPW2
1.0
-1.642 1.655 5.757
1.642 -1.655 5.757
1.642 1.655 -5.757
As P W
1 1 2
direct
0.000 0.000 0.000
0.250 0.750 0.500
0.592 0.592 0.000
0.825 0.325 0.500
```

Results
Spin magnetization = 0.000 μB/cell
ΔE_f = -0.42 eV/f.u.
DFT total energy = -9.096 eV per atom
Volume = 63 Å³/cell

---

Record 5
The following is a PBE calculation of an optimized crystal structure of PmTm3Ir2, from Alexandria.

Geometry as POSCAR:
```
PmTm3Ir2
1.0
7.224 -2.514 0.000
7.224 2.514 0.000
-0.994 0.000 8.003
Pm Tm Ir
2 6 4
direct
0.154 0.154 0.298
0.846 0.846 0.702
0.071 0.071 0.823
0.325 0.325 0.985
0.385 0.385 0.439
0.615 0.615 0.561
0.675 0.675 0.015
0.929 0.929 0.177
0.228 0.228 0.656
0.479 0.479 0.788
0.521 0.521 0.212
0.772 0.772 0.344
```

Results
Spin magnetization = 0.000 μB/cell
ΔE_f = -3.63 eV/f.u.
DFT total energy = -6.586 eV per atom
Volume = 291 Å³/cell

---

Record 6
The following is a PBE calculation of an optimized crystal structure of DyScSe2, from Alexandria.

Geometry as POSCAR:
```
DyScSe2
1.0
3.840 0.000 0.000
-1.920 3.326 0.000
0.000 0.000 7.054
Dy Sc Se
1 1 2
direct
0.000 0.000 0.000
0.000 0.000 0.500
0.333 0.667 0.734
0.667 0.333 0.266
```

Results
Spin magnetization = 0.000 μB/cell
DFT total energy = -6.123 eV per atom
Formation energy from raw total energies = -1.647 eV/atom
Volume = 90 Å³/cell